Below is an optimized crystal structure of CaEuAlZn, with properties calculated at the PBE-GGA level.

Values from the calculation:
Total DFT energy (no corrections) in eV for the cell shown: -18.24
E_form in meV per atom: -237

a = 5.290 Å, b = 5.290 Å, c = 5.290 Å
α = 60.00°, β = 60.00°, γ = 60.00°
Each line ends with the local moment (μB).
Positions (direct):
1 Ca 0.250 0.250 0.250  -0.01
2 Eu 0.750 0.750 0.750  6.78
3 Zn 0.500 0.500 0.500  0.00
4 Al 0.000 0.000 0.000  -0.01